(1)
The following is a GGA-PBE calculation of Nb6SbIr after structural relaxation, from the Open Quantum Materials Database.

Cell: 5.243 5.243 5.243 Å, 90.00 90.00 90.00°
Atoms (fractional coordinates):
Nb1 0.245 0.500 0.000
Ir1 0.000 0.000 0.000
Sb1 0.500 0.500 0.500
Nb2 0.500 0.000 0.755
Nb3 0.755 0.500 0.000
Nb4 0.500 0.000 0.245
Nb5 0.000 0.755 0.500
Nb6 0.000 0.245 0.500

Output
Total DFT energy (no corrections) = -9.46 eV per atom

(2)
The following is a GGA-PBE calculation of ZrPaNO after structural relaxation, from the Open Quantum Materials Database.

Cell: 3.791 3.791 8.469 Å, 90.00 90.00 90.00°
Atoms (fractional coordinates):
O1 0.250 0.750 0.000
N1 0.750 0.750 0.311
O2 0.750 0.250 0.000
Zr1 0.750 0.250 0.500
Pa1 0.750 0.750 0.835
Pa2 0.250 0.250 0.165
N2 0.250 0.250 0.689
Zr2 0.250 0.750 0.500

Output
E above lowest polymorph = 0.342 eV per atom

(3)
The following is a GGA-PBE calculation of GdCdHg2 after structural relaxation, from the Open Quantum Materials Database.

Cell: 4.985 6.715 6.715 Å, 59.16 90.00 90.00°
Atoms (fractional coordinates):
Hg1 0.500 0.173 0.670
Hg2 0.500 0.670 0.173
Cd1 0.000 0.318 0.839
Hg3 0.500 0.165 0.165
Hg4 0.000 0.830 0.830
Gd1 0.500 0.672 0.672
Gd2 0.000 0.332 0.332
Cd2 0.000 0.839 0.318

Output
E above lowest polymorph = 0.010 eV per atom
ΔH_f (0 K) = -0.358 eV per atom

(4)
The following is a GGA-PBE calculation of PrGePd2 after structural relaxation, from the Open Quantum Materials Database.

Cell: 7.591 7.147 5.807 Å, 90.00 90.00 90.00°
Atoms (fractional coordinates):
Pd1 0.321 0.447 0.088
Pd2 0.679 0.947 0.912
Pd3 0.179 0.947 0.588
Pr1 0.472 0.250 0.647
Ge1 0.623 0.250 0.147
Pr2 0.972 0.250 0.853
Pr3 0.028 0.750 0.147
Ge2 0.877 0.750 0.647
Pd4 0.179 0.553 0.588
Pd5 0.821 0.447 0.412
Pd6 0.821 0.053 0.412
Ge3 0.123 0.250 0.353
Ge4 0.377 0.750 0.853
Pd7 0.679 0.553 0.912
Pd8 0.321 0.053 0.088
Pr4 0.528 0.750 0.353

Output
Total DFT energy (no corrections) = -5.80 eV per atom

(5)
The following is a GGA-PBE calculation of Ta4Sb5Ir5 after structural relaxation, from the Open Quantum Materials Database.

Cell: 6.257 7.598 7.598 Å, 80.24 114.31 114.31°
Atoms (fractional coordinates):
Ir1 0.510 0.676 0.894
Ir2 0.383 0.894 0.324
Ir3 0.166 0.106 0.676
Ir4 0.750 0.500 0.500
Ta1 0.399 0.601 0.204
Ta2 0.806 0.204 0.399
Sb1 0.289 0.192 0.370
Sb2 0.727 0.808 0.630
Sb3 0.500 0.000 0.000
Sb4 0.903 0.630 0.192
Ta3 0.202 0.796 0.601
Sb5 0.081 0.370 0.808
Ta4 0.593 0.399 0.796
Ir5 0.941 0.324 0.106

Output
Total DFT energy (no corrections) = -8.50 eV per atom

Calculated density, respectively: 10.04, 9.61, 11.54, 8.99, 12.70 g/cm3.